# 1
Below is BeAuCl2 at its PBEsol-relaxed geometry, with properties calculated at the SCAN level.

Values from the calculation:
V: 76.19 Å³ per cell
Space-group type: P4/mmm (123)
E_form (uncorrected): -0.041 eV/atom
Energy: -22.41 eV per atom
DOS(E_F): 0.1233 states/eV/atom

a b c (Å): 2.865 2.865 9.279
angles (deg): 90.00 90.00 90.00
Element x y z (fractional)
Be: 0.000 0.000 0.000
Au: 0.000 0.000 0.500
Cl: 0.500 0.500 0.152
Cl: 0.500 0.500 0.848

# 2
Below is Zr2FeSb at its PBEsol-relaxed geometry, with properties calculated at the SCAN level.

Values from the calculation:
V: 74.77 Å³ per cell
Space-group type: I-4m2 (119)
E_form (uncorrected): -0.270 eV/atom
Energy: -29.47 eV per atom
DOS(E_F): 0.6121 states/eV/atom

a b c (Å): 5.426 5.426 5.426
angles (deg): 136.48 136.48 63.24
Element x y z (fractional)
Zr: 0.000 0.000 0.000
Zr: 0.750 0.250 0.500
Fe: 0.500 0.500 0.000
Sb: 0.250 0.750 0.500

# 3
Below is LaMo3S at its PBEsol-relaxed geometry, with properties calculated at the SCAN level.

Values from the calculation:
V: 105.69 Å³ per cell
Space-group type: Pm-3m (221)
E_form (uncorrected): 2.644 eV/atom
Energy: -28.83 eV per atom
DOS(E_F): 1.2807 states/eV/atom

a b c (Å): 4.728 4.728 4.728
angles (deg): 90.00 90.00 90.00
Element x y z (fractional)
La: 0.000 0.000 0.000
Mo: 0.000 0.000 0.500
Mo: 0.000 0.500 0.000
Mo: 0.500 0.000 0.000
S: 0.500 0.500 0.500

# 4
Below is CuNi2Rh at its PBEsol-relaxed geometry, with properties calculated at the SCAN level.

Values from the calculation:
V: 46.02 Å³ per cell
Space-group type: Pmm2 (25)
DFT formation energy: 0.079 eV per atom
Energy: -20.25 eV per atom
DOS(E_F): 1.1248 states/eV/atom

a b c (Å): 2.553 4.132 4.364
angles (deg): 90.00 90.00 90.00
Element x y z (fractional)
Cu: 0.000 0.000 0.000
Ni: 0.500 0.000 0.510
Ni: 0.500 0.500 0.844
Rh: 0.000 0.500 0.349

# 5
Below is TiCdRh3 at its PBEsol-relaxed geometry, with properties calculated at the SCAN level.

Values from the calculation:
V: 89.35 Å³ per cell
Space-group type: Pm-3m (221)
DFT formation energy: 0.400 eV per atom
Energy: -29.15 eV per atom
DOS(E_F): 0.8246 states/eV/atom

a b c (Å): 4.471 4.471 4.471
angles (deg): 90.00 90.00 90.00
Element x y z (fractional)
Ti: 0.000 0.000 0.000
Cd: 0.500 0.500 0.500
Rh: 0.000 0.000 0.500
Rh: 0.000 0.500 0.000
Rh: 0.500 0.000 0.000

# 6
Below is PRu3 at its PBEsol-relaxed geometry, with properties calculated at the SCAN level.

Values from the calculation:
V: 51.80 Å³ per cell
Space-group type: Pmmm (47)
DFT formation energy: 0.168 eV per atom
Energy: -28.55 eV per atom
DOS(E_F): 0.8086 states/eV/atom

a b c (Å): 2.731 3.623 5.236
angles (deg): 90.00 90.00 90.00
Element x y z (fractional)
P: 0.000 0.000 0.000
Ru: 0.000 0.000 0.500
Ru: 0.500 0.500 0.246
Ru: 0.500 0.500 0.754

# 7
Below is Sb2AsS at its PBEsol-relaxed geometry, with properties calculated at the SCAN level.

Values from the calculation:
V: 83.67 Å³ per cell
Space-group type: Fm-3m (225)
E_form (uncorrected): 0.301 eV/atom
Energy: -25.78 eV per atom
DOS(E_F): 0.4491 states/eV/atom

a b c (Å): 4.909 4.909 4.909
angles (deg): 60.00 60.00 60.00
Element x y z (fractional)
Sb: 0.250 0.250 0.250
Sb: 0.750 0.750 0.750
As: 0.000 0.000 0.000
S: 0.500 0.500 0.500

# 8
Below is TlInP2S6 at its PBEsol-relaxed geometry, with properties calculated at the SCAN level.

Values from the calculation:
V: 493.16 Å³ per cell
Space-group type: P2_1 (4)
E_form (uncorrected): -0.423 eV/atom
Energy: -18.85 eV per atom
DOS(E_F): 0.0000 states/eV/atom

a b c (Å): 6.476 9.478 8.067
angles (deg): 90.00 95.19 90.00
Element x y z (fractional)
Tl: 0.158 0.000 0.445
Tl: 0.842 0.500 0.555
In: 0.304 0.327 0.989
In: 0.696 0.827 0.011
P: 0.214 0.649 0.153
P: 0.314 0.466 0.322
P: 0.686 0.966 0.678
P: 0.786 0.149 0.847
S: 0.068 0.202 0.766
S: 0.096 0.314 0.252
S: 0.209 0.583 0.913
S: 0.328 0.547 0.548
S: 0.416 0.809 0.217
S: 0.420 0.903 0.771
S: 0.580 0.403 0.229
S: 0.584 0.309 0.783
S: 0.672 0.047 0.452
S: 0.791 0.083 0.087
S: 0.904 0.814 0.748
S: 0.932 0.702 0.234

# 9
Below is NiH2Ir2 at its PBEsol-relaxed geometry, with properties calculated at the SCAN level.

Values from the calculation:
V: 45.26 Å³ per cell
Space-group type: I4/mmm (139)
Energy: -32.72 eV per atom
DOS(E_F): 0.9637 states/eV/atom

a b c (Å): 5.683 5.683 5.683
angles (deg): 150.18 150.18 42.67
Element x y z (fractional)
Ni: 0.000 0.000 0.000
H: 0.250 0.750 0.500
H: 0.750 0.250 0.500
Ir: 0.363 0.363 0.000
Ir: 0.637 0.637 0.000

# 10
Below is Na2CoPd at its PBEsol-relaxed geometry, with properties calculated at the SCAN level.

Values from the calculation:
V: 149.59 Å³ per cell
Space-group type: I-42d (122)
DFT formation energy: 0.574 eV per atom
Energy: -14.05 eV per atom
DOS(E_F): 0.4423 states/eV/atom

a b c (Å): 6.005 6.005 6.005
angles (deg): 100.11 100.11 130.47
Element x y z (fractional)
Na: 0.124 0.125 0.499
Na: 0.375 0.876 0.001
Na: 0.626 0.625 0.501
Na: 0.875 0.374 0.999
Co: 0.250 0.750 0.500
Co: 0.500 0.500 0.000
Pd: 0.000 0.000 0.000
Pd: 0.750 0.250 0.500

# 11
Below is Sr2CuB2O6 at its PBEsol-relaxed geometry, with properties calculated at the SCAN level.

Values from the calculation:
V: 1103.97 Å³ per cell
Space-group type: Pnma (62)
E_form (uncorrected): -2.646 eV/atom
Energy: -12.83 eV per atom

a b c (Å): 7.616 10.720 13.522
angles (deg): 90.00 90.00 90.00
Element x y z (fractional)
Sr: 0.000 0.000 0.000
Sr: 0.000 0.500 0.000
Sr: 0.115 0.250 0.454
Sr: 0.163 0.523 0.717
Sr: 0.163 0.977 0.717
Sr: 0.337 0.023 0.217
Sr: 0.337 0.477 0.217
Sr: 0.385 0.750 0.954
Sr: 0.500 0.000 0.500
Sr: 0.500 0.500 0.500
Sr: 0.615 0.250 0.046
Sr: 0.663 0.523 0.783
Sr: 0.663 0.977 0.783
Sr: 0.837 0.023 0.283
Sr: 0.837 0.477 0.283
Sr: 0.885 0.750 0.546
Cu: 0.030 0.750 0.300
Cu: 0.193 0.250 0.072
Cu: 0.307 0.750 0.572
Cu: 0.470 0.250 0.800
Cu: 0.530 0.750 0.200
Cu: 0.693 0.250 0.428
Cu: 0.807 0.750 0.928
Cu: 0.970 0.250 0.700
B: 0.012 0.250 0.212
B: 0.071 0.750 0.128
B: 0.129 0.563 0.433
B: 0.129 0.937 0.433
B: 0.371 0.063 0.933
B: 0.371 0.437 0.933
B: 0.429 0.250 0.628
B: 0.488 0.750 0.712
B: 0.512 0.250 0.288
B: 0.571 0.750 0.372
B: 0.629 0.563 0.067
B: 0.629 0.937 0.067
B: 0.871 0.063 0.567
B: 0.871 0.437 0.567
B: 0.929 0.250 0.872
B: 0.988 0.750 0.788
O: 0.018 0.126 0.604
O: 0.018 0.374 0.604
O: 0.060 0.140 0.164
O: 0.060 0.360 0.164
O: 0.063 0.640 0.185
O: 0.063 0.860 0.185
O: 0.074 0.750 0.701
O: 0.081 0.750 0.028
O: 0.197 0.601 0.524
O: 0.197 0.899 0.524
O: 0.201 0.037 0.386
O: 0.201 0.463 0.386
O: 0.299 0.537 0.886
O: 0.299 0.963 0.886
O: 0.303 0.101 0.024
O: 0.303 0.399 0.024
O: 0.419 0.250 0.528
O: 0.426 0.250 0.201
O: 0.437 0.140 0.685
O: 0.437 0.360 0.685
O: 0.440 0.640 0.664
O: 0.440 0.860 0.664
O: 0.482 0.626 0.104
O: 0.482 0.874 0.104
O: 0.518 0.126 0.896
O: 0.518 0.374 0.896
O: 0.560 0.140 0.336
O: 0.560 0.360 0.336
O: 0.563 0.640 0.315
O: 0.563 0.860 0.315
O: 0.574 0.750 0.799
O: 0.581 0.750 0.472
O: 0.697 0.601 0.976
O: 0.697 0.899 0.976
O: 0.701 0.037 0.114
O: 0.701 0.463 0.114
O: 0.799 0.537 0.614
O: 0.799 0.963 0.614
O: 0.803 0.101 0.476
O: 0.803 0.399 0.476
O: 0.919 0.250 0.972
O: 0.926 0.250 0.299
O: 0.937 0.140 0.815
O: 0.937 0.360 0.815
O: 0.940 0.640 0.836
O: 0.940 0.860 0.836
O: 0.982 0.626 0.396
O: 0.982 0.874 0.396

# 12
Below is ZrZnCu at its PBEsol-relaxed geometry, with properties calculated at the SCAN level.

Values from the calculation:
V: 52.48 Å³ per cell
Space-group type: F-43m (216)
DFT formation energy: 0.092 eV per atom
Energy: -19.71 eV per atom
DOS(E_F): 1.0121 states/eV/atom

a b c (Å): 4.203 4.203 4.203
angles (deg): 60.00 60.00 60.00
Element x y z (fractional)
Zr: 0.000 0.000 0.000
Zn: 0.250 0.250 0.250
Cu: 0.500 0.500 0.500

# 13
Below is LaOsAu2 at its PBEsol-relaxed geometry, with properties calculated at the SCAN level.

Values from the calculation:
V: 75.74 Å³ per cell
Space-group type: P4/mmm (123)
DFT formation energy: -0.065 eV per atom
Energy: -63.39 eV per atom
DOS(E_F): 0.5182 states/eV/atom

a b c (Å): 4.186 4.186 4.322
angles (deg): 90.00 90.00 90.00
Element x y z (fractional)
La: 0.000 0.000 0.000
Os: 0.500 0.500 0.000
Au: 0.000 0.500 0.500
Au: 0.500 0.000 0.500

# 14
Below is CaAsOs at its PBEsol-relaxed geometry, with properties calculated at the SCAN level.

Values from the calculation:
V: 59.74 Å³ per cell
Space-group type: F-43m (216)
DFT formation energy: 0.259 eV per atom
Energy: -33.65 eV per atom
DOS(E_F): 0.7105 states/eV/atom

a b c (Å): 4.388 4.388 4.388
angles (deg): 60.00 60.00 60.00
Element x y z (fractional)
Ca: 0.000 0.000 0.000
As: 0.500 0.500 0.500
Os: 0.250 0.250 0.250

# 15
Below is Cr2InRh at its PBEsol-relaxed geometry, with properties calculated at the SCAN level.

Values from the calculation:
V: 58.79 Å³ per cell
Space-group type: F-43m (216)
DFT formation energy: -0.173 eV per atom
Energy: -26.16 eV per atom
DOS(E_F): 0.5816 states/eV/atom

a b c (Å): 4.365 4.365 4.365
angles (deg): 60.00 60.00 60.00
Element x y z (fractional)
Cr: 0.000 0.000 0.000
Cr: 0.250 0.250 0.250
In: 0.750 0.750 0.750
Rh: 0.500 0.500 0.500

# 16
Below is Na2SnH2 at its PBEsol-relaxed geometry, with properties calculated at the SCAN level.

Values from the calculation:
V: 161.90 Å³ per cell
Space-group type: P4/mbm (127)
Energy: -10.14 eV per atom
DOS(E_F): 0.2340 states/eV/atom

a b c (Å): 6.985 6.985 3.318
angles (deg): 90.00 90.00 90.00
Element x y z (fractional)
Na: 0.152 0.348 0.000
Na: 0.348 0.848 0.000
Na: 0.652 0.152 0.000
Na: 0.848 0.652 0.000
Sn: 0.000 0.000 0.500
Sn: 0.500 0.500 0.500
H: 0.160 0.660 0.500
H: 0.340 0.160 0.500
H: 0.660 0.840 0.500
H: 0.840 0.340 0.500

# 17
Below is Mn2ReAs at its PBEsol-relaxed geometry, with properties calculated at the SCAN level.

Values from the calculation:
V: 50.72 Å³ per cell
Space-group type: Cm (8)
DFT formation energy: 0.070 eV per atom
Energy: -31.88 eV per atom
DOS(E_F): 0.6684 states/eV/atom

a b c (Å): 4.438 4.438 4.386
angles (deg): 98.80 98.80 36.51
Element x y z (fractional)
Mn: 0.000 0.000 0.000
Mn: 0.744 0.744 0.291
Re: 0.487 0.487 0.482
As: 0.253 0.253 0.818

# 18
Below is Ba2HgAu at its PBEsol-relaxed geometry, with properties calculated at the SCAN level.

Values from the calculation:
V: 151.54 Å³ per cell
Space-group type: P4/mmm (123)
DFT formation energy: -0.678 eV per atom
Energy: -54.78 eV per atom
DOS(E_F): 0.4524 states/eV/atom

a b c (Å): 4.744 4.744 6.735
angles (deg): 90.00 90.00 90.00
Element x y z (fractional)
Ba: 0.000 0.000 0.000
Ba: 0.500 0.500 0.500
Hg: 0.000 0.000 0.500
Au: 0.500 0.500 0.000

# 19
Below is TlBiP2Se6 at its PBEsol-relaxed geometry, with properties calculated at the SCAN level.

Values from the calculation:
V: 2054.71 Å³ per cell
Space-group type: P2_1/c (14)
E_form (uncorrected): -0.261 eV/atom
Energy: -29.48 eV per atom

a b c (Å): 12.185 7.494 22.711
angles (deg): 90.00 97.78 90.00
Element x y z (fractional)
Tl: 0.084 0.094 0.176
Tl: 0.084 0.406 0.676
Tl: 0.158 0.579 0.078
Tl: 0.158 0.921 0.578
Tl: 0.842 0.079 0.422
Tl: 0.842 0.421 0.922
Tl: 0.916 0.594 0.324
Tl: 0.916 0.906 0.824
Bi: 0.303 0.142 0.923
Bi: 0.303 0.358 0.423
Bi: 0.435 0.635 0.825
Bi: 0.435 0.865 0.325
Bi: 0.565 0.135 0.675
Bi: 0.565 0.365 0.175
Bi: 0.697 0.642 0.577
Bi: 0.697 0.858 0.077
P: 0.099 0.096 0.347
P: 0.099 0.404 0.847
P: 0.165 0.626 0.908
P: 0.165 0.874 0.408
P: 0.358 0.096 0.095
P: 0.358 0.404 0.595
P: 0.419 0.629 0.657
P: 0.419 0.871 0.157
P: 0.581 0.129 0.843
P: 0.581 0.371 0.343
P: 0.642 0.596 0.405
P: 0.642 0.904 0.905
P: 0.835 0.126 0.592
P: 0.835 0.374 0.092
P: 0.901 0.596 0.153
P: 0.901 0.904 0.653
Se: 0.030 0.735 0.951
Se: 0.030 0.765 0.451
Se: 0.042 0.504 0.212
Se: 0.042 0.996 0.712
Se: 0.067 0.190 0.910
Se: 0.067 0.310 0.410
Se: 0.223 0.514 0.532
Se: 0.223 0.986 0.032
Se: 0.224 0.679 0.345
Se: 0.224 0.821 0.845
Se: 0.248 0.187 0.307
Se: 0.248 0.313 0.807
Se: 0.283 0.721 0.703
Se: 0.283 0.779 0.203
Se: 0.302 0.506 0.970
Se: 0.302 0.994 0.470
Se: 0.317 0.198 0.657
Se: 0.317 0.302 0.157
Se: 0.447 0.002 0.779
Se: 0.447 0.498 0.279
Se: 0.478 0.674 0.096
Se: 0.478 0.826 0.596
Se: 0.494 0.691 0.443
Se: 0.494 0.809 0.943
Se: 0.506 0.191 0.057
Se: 0.506 0.309 0.557
Se: 0.522 0.174 0.404
Se: 0.522 0.326 0.904
Se: 0.553 0.502 0.721
Se: 0.553 0.998 0.221
Se: 0.683 0.698 0.843
Se: 0.683 0.802 0.343
Se: 0.698 0.006 0.530
Se: 0.698 0.494 0.030
Se: 0.717 0.221 0.797
Se: 0.717 0.279 0.297
Se: 0.752 0.687 0.193
Se: 0.752 0.813 0.693
Se: 0.776 0.179 0.155
Se: 0.776 0.321 0.655
Se: 0.777 0.014 0.968
Se: 0.777 0.486 0.468
Se: 0.933 0.690 0.590
Se: 0.933 0.810 0.090
Se: 0.958 0.004 0.288
Se: 0.958 0.496 0.788
Se: 0.970 0.235 0.549
Se: 0.970 0.265 0.049